(1)
Entry from Alexandria: an optimized crystal structure of Pm4Se3O2 (PBE).

## Properties
Crystal system   monoclinic
Distance to the lowest polymorph of the same formula   0.0371 eV per atom
D(E_F)   13.6 states/eV/cell

Unit cell a=12.698 b=9.981 c=6.523 alpha=90.00 beta=91.31 gamma=90.00
Space group C2/c (No. 15)
One atom of each set of equivalent atoms:
Pm  0.116  0.184  0.028 [8 per cell]
Pm  0.161  0.423  0.579 [8 per cell]
Se  0.000  0.395  0.250 [4 per cell]
Se  0.119  0.125  0.542 [8 per cell]
O  0.206  0.374  0.914 [8 per cell]

---

(2)
Entry from Alexandria: an optimized crystal structure of PmSmSeO2 (PBE).

## Properties
Crystal system   tetragonal
D(E_F)   0.0 states/eV/cell

Unit cell a=3.934 b=3.934 c=12.499 alpha=90.00 beta=90.00 gamma=90.00
Space group I4mm (No. 107)
One atom of each set of equivalent atoms:
Pm  0.000  0.000  0.000 [2 per cell]
Sm  0.000  0.000  0.690 [2 per cell]
Se  0.000  0.000  0.345 [2 per cell]
O  0.000  0.500  0.096 [4 per cell]

---

(3)
Entry from Alexandria: an optimized crystal structure of TbPmSeO2 (PBE).

## Properties
Crystal system   monoclinic
D(E_F)   0.0 states/eV/cell

Unit cell a=6.603 b=4.076 c=7.745 alpha=90.00 beta=107.51 gamma=90.00
Space group P2_1/m (No. 11)
One atom of each set of equivalent atoms:
Tb  0.175  0.250  0.418 [2 per cell]
Pm  0.187  0.250  0.926 [2 per cell]
Se  0.452  0.750  0.244 [2 per cell]
O  0.012  0.750  0.384 [2 per cell]
O  0.018  0.750  0.874 [2 per cell]

---

(4)
Entry from Alexandria: an optimized crystal structure of TbPmSe2O (PBE).

## Properties
Crystal system   tetragonal
D(E_F)   2.0 states/eV/cell

Unit cell a=4.041 b=4.041 c=14.653 alpha=90.00 beta=90.00 gamma=90.00
Space group P4/nmm (No. 129, origin choice 2)
One atom of each set of equivalent atoms:
Tb  0.250  0.250  0.126 [2 per cell]
Pm  0.250  0.250  0.580 [2 per cell]
Se  0.250  0.250  0.306 [2 per cell]
Se  0.250  0.250  0.911 [2 per cell]
O  0.250  0.750  0.500 [2 per cell]

---

(5)
Entry from Alexandria: an optimized crystal structure of Pm3TcSe2O6 (PBE).

## Properties
Crystal system   monoclinic
D(E_F)   6.6 states/eV/cell

Unit cell a=12.006 b=6.766 c=5.489 alpha=90.00 beta=97.92 gamma=90.00
Space group C2/m (No. 12)
One atom of each set of equivalent atoms:
Pm  0.000  0.000  0.000 [2 per cell]
Pm  0.250  0.250  0.500 [4 per cell]
Tc  0.000  0.500  0.500 [2 per cell]
Se  0.219  0.000  0.896 [4 per cell]
O  0.052  0.284  0.301 [8 per cell]
O  0.151  0.500  0.663 [4 per cell]

---

(6)
Entry from Alexandria: an optimized crystal structure of PmTlSe2O8 (PBE).

## Properties
Crystal system   monoclinic
D(E_F)   0.0 states/eV/cell

Unit cell a=9.368 b=5.906 c=8.648 alpha=90.00 beta=91.35 gamma=90.00
Space group C2/m (No. 12)
One atom of each set of equivalent atoms:
Pm  0.000  0.000  0.000 [2 per cell]
Tl  0.000  0.000  0.500 [2 per cell]
Se  0.139  0.500  0.775 [4 per cell]
O  0.037  0.269  0.803 [8 per cell]
O  0.202  0.500  0.600 [4 per cell]
O  0.235  0.000  0.084 [4 per cell]

---

(7)
Entry from Alexandria: an optimized crystal structure of PmTmSe2O8 (PBE).

## Properties
Crystal system   tetragonal
D(E_F)   0.0 states/eV/cell

Unit cell a=5.201 b=5.201 c=11.397 alpha=90.00 beta=90.00 gamma=90.00
Space group I-4 (No. 82)
One atom of each set of equivalent atoms:
Pm  0.000  0.000  0.000 [2 per cell]
Tm  0.000  0.500  0.750 [2 per cell]
Se  0.000  0.000  0.500 [2 per cell]
Se  0.000  0.500  0.250 [2 per cell]
O  0.154  0.281  0.589 [8 per cell]
O  0.157  0.729  0.173 [8 per cell]

---

(8)
Entry from Alexandria: an optimized crystal structure of PmTmSeO2 (PBE).

## Properties
Crystal system   monoclinic
D(E_F)   0.0 states/eV/cell

Unit cell a=6.566 b=4.052 c=7.658 alpha=90.00 beta=108.37 gamma=90.00
Space group P2_1/m (No. 11)
One atom of each set of equivalent atoms:
Pm  0.189  0.250  0.429 [2 per cell]
Tm  0.169  0.250  0.920 [2 per cell]
Se  0.455  0.750  0.748 [2 per cell]
O  0.016  0.750  0.371 [2 per cell]
O  0.018  0.750  0.889 [2 per cell]

---

(9)
Entry from Alexandria: an optimized crystal structure of PmUSeO2 (PBE).

## Properties
Crystal system   tetragonal
D(E_F)   13.9 states/eV/cell

Unit cell a=3.890 b=3.890 c=12.306 alpha=90.00 beta=90.00 gamma=90.00
Space group I4mm (No. 107)
One atom of each set of equivalent atoms:
Pm  0.000  0.000  0.000 [2 per cell]
U  0.000  0.000  0.295 [2 per cell]
Se  0.000  0.000  0.648 [2 per cell]
O  0.000  0.500  0.395 [4 per cell]

---

| no. | raw total energy (eV/atom) | formation energy (no corrections) (meV per atom) | magnetization (μB/f.u.) |
| --- | --- | --- | --- |
| 1 | -6.76 | -2384 | 0.0 |
| 2 | -7.58 | -3005 | 0.0 |
| 3 | -7.62 | -3068 | 0.0 |
| 4 | -6.66 | -2396 | 0.0 |
| 5 | -6.98 | -1873 | 0.0 |
| 6 | -5.84 | -1357 | 0.0 |
| 7 | -6.46 | -1805 | 0.0 |
| 8 | -7.61 | -3086 | 0.0 |
| 9 | -8.51 | -2618 | 3.0 |